La2GdCd | PBE | relaxed

Properties
The calculation puts the density of states at the Fermi level at 5.35 states/eV/cell. For the size of the total moment, the calculation gives 7.26 μB/f.u. Its symmetry is R-3m (166). The value obtained for the distance to the lowest polymorph of the same formula is 93 meV/atom. For the calculated formation energy, the calculation gives -0.21 eV/f.u.

a = 3.6934 Å, b = 3.6934 Å, c = 11.4617 Å
α = 80.73°, β = 80.73°, γ = 60.00°
Last column: nearest neighbours and their distance in Å.
Element x y z (fractional)
Gd  0.5000  0.5000  0.5000  6 La 3.65, 6 Gd 3.69
Cd  0.0000  0.0000  0.0000  6 La 3.42, 6 Cd 3.69
La  0.7457  0.7457  0.7630  3 Cd 3.42, 3 Gd 3.65, 6 La 3.69
La  0.2543  0.2543  0.2370  3 Cd 3.42, 3 Gd 3.65, 6 La 3.69